Entry 1:
DFT (PBE-GGA) results for a geometry-optimized CaAlNF2 structure.

a = 4.162 Å, b = 4.162 Å, c = 4.915 Å
α = 90.00°, β = 90.00°, γ = 90.00°
Fractional positions:
Al (0.500, 0.500, 0.500)
Ca (0.000, 0.000, 0.000)
N (0.000, 0.000, 0.500)
F (0.000, 0.500, 0.000)
F (0.500, 0.000, 0.000)

Summary:
Magnetic moment: 0.000 μB/atom
DOS at the Fermi energy: 3.00 states/eV/f.u.
Uncorrected formation energy: -1.09 eV per atom
Crystal system: tetragonal
ΔE to the lowest computed polymorph: 1224.8 meV/atom
Space-group type: No. 123


Entry 2:
DFT (PBE-GGA) results for a geometry-optimized SmSc2PaS4 structure.

a = 3.773 Å, b = 6.709 Å, c = 6.578 Å
α = 71.24°, β = 90.00°, γ = 90.00°
Fractional positions:
Sc (0.500, 0.000, 0.500)
Sc (0.000, 0.000, 0.000)
Sm (0.500, 0.500, 0.000)
Pa (0.000, 0.500, 0.500)
S (0.500, 0.228, 0.754)
S (0.000, 0.773, 0.738)
S (0.000, 0.227, 0.262)
S (0.500, 0.772, 0.246)

Summary:
Magnetic moment: 0.000 μB/atom
DOS at the Fermi energy: 5.59 states/eV/f.u.
Uncorrected formation energy: -1.81 eV per atom
Crystal system: monoclinic
Space-group type: No. 10


Entry 3:
DFT (PBE-GGA) results for a geometry-optimized Ti2ZnHAu structure.

a = 4.017 Å, b = 4.017 Å, c = 4.165 Å
α = 90.00°, β = 90.00°, γ = 90.00°
Fractional positions:
Au (0.000, 0.000, 0.500)
Ti (0.500, 0.000, 0.000)
Ti (0.000, 0.500, 0.000)
H (0.000, 0.000, 0.000)
Zn (0.500, 0.500, 0.500)

Summary:
Magnetic moment: 0.000 μB/atom
DOS at the Fermi energy: 4.16 states/eV/f.u.
Crystal system: tetragonal
ΔE to the lowest computed polymorph: 58.2 meV/atom
Space-group type: No. 123


Entry 4:
DFT (PBE-GGA) results for a geometry-optimized CaNd2TaN4 structure.

a = 6.885 Å, b = 6.885 Å, c = 6.973 Å
α = 120.42°, β = 120.42°, γ = 89.89°
Fractional positions:
Nd (0.500, 0.000, 0.500)
Nd (0.500, 0.000, 0.000)
Nd (0.000, 0.000, 0.500)
Nd (0.500, 0.500, 0.000)
N (0.752, 0.748, 0.967)
N (0.779, 0.222, 0.001)
N (0.278, 0.721, 0.499)
N (0.221, 0.778, 0.999)
N (0.722, 0.279, 0.501)
N (0.248, 0.252, 0.033)
N (0.248, 0.252, 0.467)
N (0.752, 0.748, 0.533)
Ta (0.500, 0.500, 0.500)
Ta (0.000, 0.000, 0.000)
Ca (0.000, 0.500, 0.500)
Ca (0.000, 0.500, 0.000)

Summary:
Magnetic moment: 0.000 μB/atom
DOS at the Fermi energy: 1.95 states/eV/f.u.
Uncorrected formation energy: -1.21 eV per atom
Crystal system: orthorhombic
Space-group type: No. 74


Entry 5:
DFT (PBE-GGA) results for a geometry-optimized Ho2Ga2Os structure.

a = 4.161 Å, b = 5.815 Å, c = 9.612 Å
α = 89.72°, β = 77.50°, γ = 69.04°
Fractional positions:
Os (0.630, 0.086, 0.653)
Os (0.370, 0.914, 0.347)
Ga (0.911, 0.733, 0.444)
Ga (0.632, 0.850, 0.886)
Ga (0.089, 0.267, 0.556)
Ga (0.368, 0.150, 0.114)
Ho (0.070, 0.738, 0.122)
Ho (0.677, 0.317, 0.330)
Ho (0.930, 0.262, 0.878)
Ho (0.323, 0.683, 0.670)

Summary:
Magnetic moment: 0.000 μB/atom
DOS at the Fermi energy: 3.94 states/eV/f.u.
Crystal system: monoclinic
Calculated formation energy: -48.5 kJ per mole of atoms
Space-group type: No. 12


Entry 6:
DFT (PBE-GGA) results for a geometry-optimized KRh structure.

a = 4.118 Å, b = 4.105 Å, c = 9.512 Å
α = 101.50°, β = 92.76°, γ = 114.56°
Fractional positions:
Rh (0.818, 0.182, 0.500)
Rh (0.182, 0.818, 0.500)
K (0.405, 0.340, 0.239)
K (0.595, 0.660, 0.761)

Summary:
Magnetic moment: 0.191 μB/atom
DOS at the Fermi energy: 2.34 states/eV/f.u.
Crystal system: triclinic
Calculated formation energy: 38.8 kJ per mole of atoms
ΔE to the lowest computed polymorph: 33.3 meV/atom
Space-group type: No. 2


Number 1: calculated density 2323 kg/m³. Number 2: calculated density 6314 kg/m³. Number 3: calculated density 8873 kg/m³. Number 4: calculated density 8132 kg/m³. Number 5: calculated density 10363 kg/m³. Number 6: calculated density 3326 kg/m³.